Computed, not measured: CaNiO after structural relaxation at the PBE with a Hubbard U level of DFT.

Cell lengths 3.2881, 3.7582, 7.6737 Å; angles 90.01, 89.99, 90.00 degrees
Closest atoms and distances in Å follow each position.
Fractional coordinates of all 6 atoms:
Ni  0.6289  0.8393  0.9829  1 O 1.99
Ni  0.6291  0.8392  0.5086  3 O 1.89-2.05
Ca  0.1290  0.3393  0.7393  2 O 2.29
Ca  0.1292  0.3392  0.2758  6 O 2.51-2.56
O  0.6291  0.3392  0.5313  2 Ni 1.89
O  0.6294  0.8391  0.2419  2 Ni 1.99-2.05

Output
Its crystal system is orthorhombic. The density of states at the Fermi level is 0.124 states/eV/atom. The value obtained for the calculated total energy is -26.3 eV/cell. The spin magnetization comes out at 1.8 μB/cell.